1.
Material: PmScSe3
Method: DFT, PBE-GGA
State: optimized geometry

Lattice parameters (Å, degrees): 9.1145 6.6901 9.4243 90.00 112.95 90.00
Fractional positions:
Pm1 0.1487 0.2475 0.1505
Pm2 0.1487 0.2525 0.6505
Pm3 0.8513 0.7475 0.3495
Pm4 0.8513 0.7525 0.8495
Sc1 0.4073 0.7489 0.3883
Sc2 0.4073 0.7511 0.8883
Sc3 0.5927 0.2489 0.1117
Sc4 0.5927 0.2511 0.6117
Se1 0.0965 0.6726 0.1993
Se2 0.0965 0.8274 0.6993
Se3 0.3041 0.0892 0.4597
Se4 0.3041 0.4108 0.9597
Se5 0.4075 0.5532 0.6376
Se6 0.4075 0.9468 0.1376
Se7 0.5925 0.0532 0.8624
Se8 0.5925 0.4468 0.3624
Se9 0.6959 0.5892 0.0403
Se10 0.6959 0.9108 0.5403
Se11 0.9035 0.1726 0.3007
Se12 0.9035 0.3274 0.8007

Calculated values
energy above the most stable polymorph in this dataset	118	meV/atom

---

2.
Material: Pm2Sm3ScSe6
Method: DFT, PBE-GGA
State: optimized geometry

Lattice parameters (Å, degrees): 9.2298 9.2298 8.3133 102.78 102.78 25.81
Fractional positions:
Pm1 0.1673 0.1673 0.3342
Pm2 0.8327 0.8327 0.6658
Sm1 0.1719 0.1719 0.8357
Sm2 0.5000 0.5000 0.5000
Sm3 0.8281 0.8281 0.1643
Sc1 0.5000 0.5000 0.0000
Se1 0.0025 0.0025 0.7668
Se2 0.3346 0.3346 0.4154
Se3 0.3420 0.3420 0.9224
Se4 0.6580 0.6580 0.0776
Se5 0.6654 0.6654 0.5846
Se6 0.9975 0.9975 0.2332

Calculated values
Fermi-level density of states	0.520	states/eV/atom

---

3.
Material: Pm3Sm2ScSe6
Method: DFT, PBE-GGA
State: optimized geometry

Lattice parameters (Å, degrees): 9.2465 9.2465 8.3274 103.06 103.06 25.76
Fractional positions:
Pm1 0.0000 0.0000 0.0000
Pm2 0.3287 0.3287 0.6644
Pm3 0.6713 0.6713 0.3356
Sm1 0.3330 0.3330 0.1663
Sm2 0.6670 0.6670 0.8337
Sc1 0.0000 0.0000 0.5000
Se1 0.1578 0.1578 0.5802
Se2 0.1666 0.1666 0.0821
Se3 0.4984 0.4984 0.7322
Se4 0.5016 0.5016 0.2678
Se5 0.8334 0.8334 0.9179
Se6 0.8422 0.8422 0.4198

Calculated values
Fermi-level density of states	0.515	states/eV/atom

---

Number 1: formation energy from raw total energies -1.656 eV/atom, total magnetic moment 0.0 μB/cell, calculated volume 529 Å³/cell. Number 2: formation energy from raw total energies -1.770 eV/atom, total magnetic moment 0.0 μB/cell, calculated volume 300 Å³/cell. Number 3: formation energy from raw total energies -1.775 eV/atom, total magnetic moment 0.0 μB/cell, calculated volume 301 Å³/cell.